Material: ThZrAlCd
Method: DFT, PBE
State: optimized geometry

E in eV per atom: -5.24
ΔE_f in eV/atom: -0.0855
D(E_F) in states/eV/f.u.: 4.48

Unit cell a=7.287 b=7.287 c=7.287 alpha=90.00 beta=90.00 gamma=90.00
Space group F-43m (No. 216)
One atom of each set of equivalent atoms:
Th (0.000, 0.000, 0.000) x4
Zr (0.000, 0.000, 0.500) x4
Al (0.250, 0.250, 0.750) x4
Cd (0.250, 0.250, 0.250) x4

Material: MnNbBi2Pd
Method: DFT, PBE
State: optimized geometry

E in eV per atom: -4.99
ΔE_f in eV/atom: 1.4481
D(E_F) in states/eV/f.u.: 6.96

Unit cell a=5.415 b=5.415 c=4.926 alpha=90.00 beta=90.00 gamma=90.00
Space group P4/mmm (No. 123)
One atom of each set of equivalent atoms:
Mn (0.000, 0.000, 0.000) x1
Nb (0.500, 0.500, 0.500) x1
Bi (0.000, 0.500, 0.500) x2
Pd (0.500, 0.500, 0.000) x1